Entry 1:
Here is CdSiC2O after structural relaxation from Alexandria. Energies are from PBE-GGA.

a b c (Å): 4.2500 4.2319 4.2500
angles (deg): 90.00 90.00 90.00
With the nearest neighbours (Å) after each atom.
Fractional coordinates of all 5 atoms:
O 0.0000 0.5000 0.0000  2 Cd 2.12
Si 0.5000 0.5000 0.5000  8 C 3.00, 4 O 3.01
C 0.0000 0.0000 0.5000  2 Cd 2.12
Cd 0.0000 0.0000 0.0000  2 O 2.12, 4 C 2.12
C 0.5000 0.0000 0.0000  2 Cd 2.12

**ρ**: 3.9 g/cm3
**Uncorrected energy**: -17.24 eV per cell
**Space-group type**: No. 123
**Total magnetic moment**: 1.86 μB per cell

Entry 2:
Here is BaNaCu2C after structural relaxation from Alexandria. Energies are from PBE-GGA.

a b c (Å): 4.6885 4.6885 6.6983
angles (deg): 90.00 90.00 90.00
With the nearest neighbours (Å) after each atom.
Fractional coordinates of all 5 atoms:
Cu 0.5000 0.0000 0.0000  2 Na 2.34
Na 0.0000 0.0000 0.0000  4 Cu 2.34
Cu 0.0000 0.5000 0.0000  2 Na 2.34
C 0.5000 0.5000 0.5000  4 Ba 3.32
Ba 0.0000 0.0000 0.5000  4 C 3.32, 2 Na 3.35

**ρ**: 3.4 g/cm3
**Uncorrected energy**: -11.99 eV per cell
**Space-group type**: No. 123
**Total magnetic moment**: 2.43 μB per cell

Entry 3:
Here is AlReNi2 after structural relaxation from Alexandria. Energies are from PBE-GGA.

a b c (Å): 4.5209 4.5209 2.6293
angles (deg): 90.00 90.00 109.35
With the nearest neighbours (Å) after each atom.
Fractional coordinates of all 4 atoms:
Ni 0.5000 0.5000 0.0000  4 Ni 2.61-2.63, 4 Al 2.61, 4 Re 2.61
Ni 0.0000 0.0000 0.0000  4 Ni 2.61-2.63, 4 Re 2.61, 4 Al 2.61
Al 0.0000 0.5000 0.5000  2 Re 2.61, 8 Ni 2.61, 2 Al 2.63
Re 0.5000 0.0000 0.5000  2 Al 2.61, 8 Ni 2.61, 2 Re 2.63

**ρ**: 10.8 g/cm3
**Uncorrected energy**: -28.40 eV per cell
**Space-group type**: No. 65
**Total magnetic moment**: 0.50 μB per cell

Entry 4:
Here is LaHg2Pd2 after structural relaxation from Alexandria. Energies are from PBE-GGA.

a b c (Å): 4.2048 4.2048 7.1390
angles (deg): 72.87 72.87 90.00
With the nearest neighbours (Å) after each atom.
Fractional coordinates of all 5 atoms:
Hg 0.7500 0.2500 0.5000  4 Pd 2.86, 4 Hg 2.97
Pd 0.6010 0.6010 0.7979  1 Pd 2.62, 4 Hg 2.86
La 0.0000 0.0000 0.0000  8 Pd 3.25
Hg 0.2500 0.7500 0.5000  4 Pd 2.86, 4 Hg 2.97
Pd 0.3990 0.3990 0.2021  1 Pd 2.62, 4 Hg 2.86

**ρ**: 10.9 g/cm3
**Uncorrected energy**: -18.27 eV per cell
**Space-group type**: No. 139
**Total magnetic moment**: 0.00 μB per cell

Entry 5:
Here is Pr2TmPu after structural relaxation from Alexandria. Energies are from PBE-GGA.

a b c (Å): 3.5807 3.5807 10.1719
angles (deg): 90.00 90.00 90.00
With the nearest neighbours (Å) after each atom.
Fractional coordinates of all 4 atoms:
Pr 0.0000 0.0000 0.7488  4 Pu 3.58, 4 Pr 3.58, 4 Tm 3.60
Tm 0.5000 0.5000 0.0000  4 Tm 3.58, 8 Pr 3.60
Pr 0.0000 0.0000 0.2512  4 Pu 3.58, 4 Pr 3.58, 4 Tm 3.60
Pu 0.5000 0.5000 0.5000  8 Pr 3.58, 4 Pu 3.58

**ρ**: 8.8 g/cm3
**Uncorrected energy**: -27.88 eV per cell
**Space-group type**: No. 123
**Total magnetic moment**: 5.95 μB per cell

Entry 6:
Here is Sc4TlHg2 after structural relaxation from Alexandria. Energies are from PBE-GGA.

a b c (Å): 4.9098 4.9098 8.5629
angles (deg): 73.34 73.34 60.00
With the nearest neighbours (Å) after each atom.
Fractional coordinates of all 7 atoms:
Hg 0.2469 0.2469 0.2593  7 Sc 2.85-3.02
Tl 0.0000 0.0000 0.0000  8 Sc 3.08-3.13
Sc 0.1292 0.1292 0.6125  4 Hg 2.85-3.02, 1 Tl 3.13
Sc 0.3829 0.3829 0.8513  4 Hg 2.97-3.30, 3 Tl 3.08
Sc 0.8708 0.8708 0.3875  4 Hg 2.85-3.02, 1 Tl 3.13
Sc 0.6171 0.6171 0.1487  4 Hg 2.97-3.30, 3 Tl 3.08
Hg 0.7531 0.7531 0.7407  7 Sc 2.85-3.02

**ρ**: 7.7 g/cm3
**Uncorrected energy**: -29.77 eV per cell
**Space-group type**: No. 166
**Total magnetic moment**: 0.00 μB per cell

Entry 7:
Here is Ac5LaPr6 after structural relaxation from Alexandria. Energies are from PBE-GGA.

a b c (Å): 5.4737 10.6743 10.1359
angles (deg): 121.77 105.69 90.00
With the nearest neighbours (Å) after each atom.
Fractional coordinates of all 12 atoms:
La 0.0000 0.0000 0.0000  8 Pr 3.79-3.80, 4 Ac 3.84
Ac 0.3354 0.8354 0.6707  8 Pr 3.77-3.86, 2 La 3.84, 2 Ac 3.88
Pr 0.1657 0.4141 0.3314  1 La 3.79, 7 Ac 3.81-3.86, 4 Pr 3.85-3.88
Pr 0.8343 0.5859 0.6686  1 La 3.79, 7 Ac 3.81-3.86, 4 Pr 3.85-3.88
Ac 0.6667 0.6667 0.3334  8 Pr 3.81-3.84, 4 Ac 3.86-3.88
Pr 0.1657 0.9174 0.3314  1 La 3.79, 7 Ac 3.81-3.86, 4 Pr 3.85-3.88
Pr 0.5000 0.2473 0.0000  6 Ac 3.77-3.84, 2 La 3.80, 4 Pr 3.85
Pr 0.5000 0.7527 0.0000  6 Ac 3.77-3.84, 2 La 3.80, 4 Pr 3.85
Ac 0.6646 0.1646 0.3293  8 Pr 3.77-3.86, 2 La 3.84, 2 Ac 3.88
Ac 0.3333 0.3333 0.6666  8 Pr 3.81-3.84, 4 Ac 3.86-3.88
Ac 0.0000 0.5000 0.0000  8 Pr 3.81-3.84, 4 Ac 3.86
Pr 0.8343 0.0826 0.6686  1 La 3.79, 7 Ac 3.81-3.86, 4 Pr 3.85-3.88

**ρ**: 7.4 g/cm3
**Uncorrected energy**: -53.91 eV per cell
**Space-group type**: No. 71
**Total magnetic moment**: 0.00 μB per cell

Entry 8:
Here is KCr2Cl after structural relaxation from Alexandria. Energies are from PBE-GGA.

a b c (Å): 3.3196 3.3196 9.4540
angles (deg): 90.00 90.00 90.00
With the nearest neighbours (Å) after each atom.
Fractional coordinates of all 4 atoms:
Cl 0.5000 0.5000 0.7500  8 Cr 2.93
Cr 0.0000 0.0000 0.9362  4 Cl 2.93
K 0.5000 0.5000 0.2500  4 K 3.32
Cr 0.0000 0.0000 0.5638  4 Cl 2.93

**ρ**: 2.8 g/cm3
**Uncorrected energy**: -19.24 eV per cell
**Space-group type**: No. 123
**Total magnetic moment**: 9.75 μB per cell

Entry 9:
Here is PrTlGaPd after structural relaxation from Alexandria. Energies are from PBE-GGA.

a b c (Å): 5.0246 5.0246 5.0246
angles (deg): 60.00 60.00 60.00
With the nearest neighbours (Å) after each atom.
Fractional coordinates of all 4 atoms:
Ga 0.0000 0.0000 0.0000  4 Pr 3.08, 4 Tl 3.08
Pd 0.5000 0.5000 0.5000  4 Tl 3.08, 4 Pr 3.08
Tl 0.2500 0.2500 0.2500  4 Pd 3.08, 4 Ga 3.08
Pr 0.7500 0.7500 0.7500  4 Pd 3.08, 4 Ga 3.08

**ρ**: 9.7 g/cm3
**Uncorrected energy**: -17.20 eV per cell
**Space-group type**: No. 216
**Total magnetic moment**: 0.00 μB per cell

Entry 10:
Here is KHg2F4 after structural relaxation from Alexandria. Energies are from PBE-GGA.

a b c (Å): 5.8768 5.8768 5.8768
angles (deg): 106.62 106.62 115.34
With the nearest neighbours (Å) after each atom.
Fractional coordinates of all 7 atoms:
Hg 0.7500 0.2500 0.5000  4 F 2.35
F 0.1761 0.6766 0.8527  2 Hg 2.35, 1 K 2.59
F 0.6766 0.8239 0.5005  2 Hg 2.35, 1 K 2.59
F 0.8239 0.3234 0.1473  2 Hg 2.35, 1 K 2.59
F 0.3234 0.1761 0.4995  2 Hg 2.35, 1 K 2.59
K 0.5000 0.5000 0.0000  4 F 2.59
Hg 0.2500 0.7500 0.5000  4 F 2.35

**ρ**: 5.5 g/cm3
**Uncorrected energy**: -19.92 eV per cell
**Space-group type**: No. 87
**Total magnetic moment**: 0.00 μB per cell

Entry 11:
Here is RbCaTa after structural relaxation from Alexandria. Energies are from PBE-GGA.

a b c (Å): 28.2133 9.9617 9.9617
angles (deg): 146.73 160.69 19.31
With the nearest neighbours (Å) after each atom.
Fractional coordinates of all 6 atoms:
Rb 0.2894 0.5017 0.4983  3 Ca 3.98-4.46, 3 Ta 4.05-4.06, 3 Rb 4.07-4.09
Ca 0.8503 0.5006 0.4994  6 Ta 3.36-3.68, 3 Ca 3.44
Ta 0.5395 0.5010 0.4990  1 Ta 2.27
Ca 0.1497 0.4994 0.5006  6 Ta 3.36-3.68, 3 Ca 3.44
Ta 0.4605 0.4990 0.5010  1 Ta 2.27
Rb 0.7106 0.4983 0.5017  3 Ca 3.98-4.46, 3 Ta 4.05-4.06, 3 Rb 4.07-4.09

**ρ**: 3.8 g/cm3
**Uncorrected energy**: -24.07 eV per cell
**Space-group type**: No. 12
**Total magnetic moment**: 0.00 μB per cell

Entry 12:
Here is LiHfZn2Re after structural relaxation from Alexandria. Energies are from PBE-GGA.

a b c (Å): 4.6940 4.3941 4.6940
angles (deg): 90.00 90.00 90.00
With the nearest neighbours (Å) after each atom.
Fractional coordinates of all 5 atoms:
Zn 0.5000 0.0000 0.0000  2 Re 2.35
Hf 0.5000 0.5000 0.5000  8 Zn 3.21, 4 Li 3.32
Re 0.0000 0.0000 0.0000  2 Li 2.20, 4 Zn 2.35
Li 0.0000 0.5000 0.0000  2 Re 2.20
Zn 0.0000 0.0000 0.5000  2 Re 2.35

**ρ**: 8.6 g/cm3
**Uncorrected energy**: -21.62 eV per cell
**Space-group type**: No. 123
**Total magnetic moment**: 0.00 μB per cell